# 1
The following is a DFT calculation (PBE-GGA) of a relaxed SrPmAlHg crystal.

Unit cell a=5.478 b=5.478 c=5.478 alpha=60.00 beta=60.00 gamma=60.00
Atoms (fractional coordinates):
Sr 0.000 0.000 0.000
Pm 0.500 0.500 0.500
Al 0.750 0.750 0.750
Hg 0.250 0.250 0.250

## Properties
E_tot   -11.75 eV per cell
Formation energy   -318 meV/atom
Symmetry   F-43m, No. 216
Theoretical density   6.6 Mg/m³
Size of the total moment   0.000 μB per atom



# 2
The following is a DFT calculation (PBE-GGA) of a relaxed TcS crystal.

Unit cell a=3.057 b=11.534 c=5.615 alpha=90.00 beta=90.00 gamma=90.00
Atoms (fractional coordinates):
Tc 0.250 0.135 0.005
Tc 0.250 0.365 0.005
Tc 0.250 0.750 0.680
Tc 0.750 0.250 0.320
Tc 0.750 0.635 0.995
Tc 0.750 0.865 0.995
S 0.250 0.250 0.656
S 0.250 0.545 0.737
S 0.250 0.955 0.737
S 0.750 0.045 0.263
S 0.750 0.455 0.263
S 0.750 0.750 0.344

## Properties
Uncorrected formation energy   -0.696 eV per formula unit
E_tot   -91.14 eV per cell
Symmetry   Pmmn, No. 59
Theoretical density   6.5 Mg/m³
Size of the total moment   0.000 μB per atom



# 3
The following is a DFT calculation (PBE-GGA) of a relaxed PmSmTh2Rh4 crystal.

Unit cell a=7.056 b=5.776 c=7.060 alpha=65.81 beta=48.31 gamma=65.88
Atoms (fractional coordinates):
Pm 0.000 0.000 0.000
Sm 0.499 0.499 0.501
Th 0.247 0.247 0.253
Th 0.747 0.747 0.753
Rh 0.248 0.746 0.254
Rh 0.500 0.999 0.500
Rh 0.746 0.248 0.752
Rh 0.999 0.500 0.001

## Properties
E_tot   -59.63 eV per cell
Formation energy   -739 meV/atom
Symmetry   Fmm2, No. 42
Theoretical density   10.1 Mg/m³
Size of the total moment   0.000 μB per atom



# 4
The following is a DFT calculation (PBE-GGA) of a relaxed NaSr2LiTl6 crystal.

Unit cell a=6.384 b=7.601 c=7.940 alpha=88.78 beta=66.47 gamma=65.53
Atoms (fractional coordinates):
Na 0.000 0.000 0.000
Sr 0.253 0.240 0.260
Sr 0.747 0.760 0.740
Li 0.500 0.500 0.500
Tl 0.194 0.322 0.795
Tl 0.254 0.912 0.577
Tl 0.313 0.686 0.199
Tl 0.687 0.314 0.801
Tl 0.746 0.088 0.423
Tl 0.806 0.678 0.205

## Properties
E_tot   -22.38 eV per cell
Formation energy   -158 meV/atom
Symmetry   P-1, No. 2
Theoretical density   7.5 Mg/m³
Size of the total moment   0.000 μB per atom



# 5
The following is a DFT calculation (PBE-GGA) of a relaxed InCoAg crystal.

Unit cell a=4.500 b=4.500 c=2.896 alpha=90.00 beta=90.00 gamma=120.00
Atoms (fractional coordinates):
In 0.000 0.000 0.000
Co 0.667 0.333 0.750
Ag 0.333 0.667 0.373

## Properties
E_tot   -11.73 eV per cell
Formation energy   322 meV/atom
Symmetry   P3m1, No. 156
Theoretical density   9.2 Mg/m³
Size of the total moment   0.442 μB per atom



# 6
The following is a DFT calculation (PBE-GGA) of a relaxed PmEr2PaN4 crystal.

Unit cell a=6.013 b=3.501 c=6.050 alpha=90.00 beta=109.19 gamma=90.00
Atoms (fractional coordinates):
Pm 0.000 0.000 0.000
Er 0.500 0.000 0.500
Er 0.500 0.500 0.000
Pa 0.000 0.500 0.500
N 0.250 0.000 0.738
N 0.250 0.500 0.271
N 0.750 0.000 0.262
N 0.750 0.500 0.729

## Properties
Uncorrected formation energy   -13.283 eV per formula unit
E_tot   -69.96 eV per cell
Symmetry   P2/m, No. 10
Theoretical density   10.6 Mg/m³
Size of the total moment   0.000 μB per atom



# 7
The following is a DFT calculation (PBE-GGA) of a relaxed KMo2W crystal.

Unit cell a=6.064 b=6.064 c=6.064 alpha=152.72 beta=124.51 gamma=62.92
Atoms (fractional coordinates):
K 0.000 0.000 0.000
Mo 0.294 0.794 0.500
Mo 0.706 0.206 0.500
W 0.500 0.500 0.000

## Properties
E_tot   -29.94 eV per cell
Formation energy   1443 meV/atom
Symmetry   Immm, No. 71
Theoretical density   8.2 Mg/m³
Size of the total moment   0.000 μB per atom



# 8
The following is a DFT calculation (PBE-GGA) of a relaxed SrZnGa3Ni crystal.

Unit cell a=6.936 b=6.936 c=6.325 alpha=90.00 beta=90.00 gamma=127.03
Atoms (fractional coordinates):
Sr 0.232 0.768 0.750
Sr 0.768 0.232 0.250
Zn 0.139 0.861 0.250
Zn 0.861 0.139 0.750
Ga 0.215 0.215 0.000
Ga 0.215 0.215 0.500
Ga 0.348 0.652 0.250
Ga 0.652 0.348 0.750
Ga 0.785 0.785 0.000
Ga 0.785 0.785 0.500
Ni 0.467 0.533 0.750
Ni 0.533 0.467 0.250

## Properties
E_tot   -38.07 eV per cell
Formation energy   -203 meV/atom
Symmetry   Cmcm, No. 63
Theoretical density   5.8 Mg/m³
Size of the total moment   0.000 μB per atom



# 9
The following is a DFT calculation (PBE-GGA) of a relaxed Ca3BeAs2Pd9 crystal.

Unit cell a=6.766 b=6.766 c=7.365 alpha=90.00 beta=90.00 gamma=120.00
Atoms (fractional coordinates):
Ca 0.000 0.000 0.000
Ca 0.333 0.667 0.656
Ca 0.667 0.333 0.344
Be 0.000 0.000 0.500
As 0.333 0.667 0.200
As 0.667 0.333 0.800
Pd 0.000 0.500 0.000
Pd 0.145 0.290 0.323
Pd 0.145 0.855 0.323
Pd 0.290 0.145 0.677
Pd 0.500 0.000 0.000
Pd 0.500 0.500 0.000
Pd 0.710 0.855 0.323
Pd 0.855 0.145 0.677
Pd 0.855 0.710 0.677

## Properties
E_tot   -73.77 eV per cell
Formation energy   -533 meV/atom
Symmetry   P-3m1, No. 164
Theoretical density   7.0 Mg/m³
Size of the total moment   0.000 μB per atom



# 10
The following is a DFT calculation (PBE-GGA) of a relaxed Na3HfTa crystal.

Unit cell a=5.329 b=5.329 c=5.329 alpha=90.00 beta=90.00 gamma=90.00
Atoms (fractional coordinates):
Na 0.000 0.000 0.500
Na 0.000 0.500 0.000
Na 0.500 0.000 0.000
Hf 0.000 0.000 0.000
Ta 0.500 0.500 0.500

## Properties
E_tot   -13.39 eV per cell
Formation energy   2474 meV/atom
Symmetry   Pm-3m, No. 221
Theoretical density   4.7 Mg/m³
Size of the total moment   0.000 μB per atom



# 11
The following is a DFT calculation (PBE-GGA) of a relaxed Tl6SbSe2 crystal.

Unit cell a=7.294 b=7.294 c=7.077 alpha=90.00 beta=90.00 gamma=120.00
Atoms (fractional coordinates):
Tl 0.000 0.395 0.291
Tl 0.000 0.605 0.709
Tl 0.395 0.000 0.291
Tl 0.395 0.395 0.709
Tl 0.605 0.000 0.709
Tl 0.605 0.605 0.291
Sb 0.000 0.000 0.500
Se 0.333 0.667 0.000
Se 0.667 0.333 0.000

## Properties
Uncorrected formation energy   -1.065 eV per formula unit
E_tot   -26.35 eV per cell
Symmetry   P-31m, No. 162
Theoretical density   7.7 Mg/m³
Size of the total moment   0.000 μB per atom



# 12
The following is a DFT calculation (PBE-GGA) of a relaxed PmSnAs crystal.

Unit cell a=4.846 b=4.846 c=3.874 alpha=90.00 beta=90.00 gamma=120.00
Atoms (fractional coordinates):
Pm 0.000 0.000 0.000
Sn 0.333 0.667 0.500
As 0.667 0.333 0.500

## Properties
E_tot   -15.08 eV per cell
Formation energy   -560 meV/atom
Symmetry   P-6m2, No. 187
Theoretical density   7.1 Mg/m³
Size of the total moment   0.000 μB per atom